A plane-wave DFT calculation with GGA-PBEsol was carried out for a geometry-optimized NaP2OsCl structure.

```
NaP2OsCl
1.0
4.758 0.000 0.000
0.000 4.758 0.000
0.000 0.000 4.487
Na P Os Cl
1 2 1 1
direct
0.000 0.000 0.000
0.000 0.500 0.000
0.500 0.000 0.000
0.500 0.500 0.500
0.000 0.000 0.500
```

Offset from the most stable computed form   1.970 eV per atom
Space-group type   No. 123
Total DFT energy (no corrections)   -3.463 eV per atom
Calculated volume   102 Å³/f.u.
DOS at the Fermi energy   5.003 states/eV per cell

=====

A plane-wave DFT calculation with GGA-PBEsol was carried out for a geometry-optimized NaPOsCl2 structure.

```
NaPOsCl2
1.0
4.598 0.000 0.000
0.000 4.598 0.000
0.000 0.000 5.296
Na P Os Cl
1 1 1 2
direct
0.000 0.000 0.000
0.000 0.000 0.500
0.500 0.500 0.500
0.000 0.500 0.000
0.500 0.000 0.000
```

Offset from the most stable computed form   1.571 eV per atom
Space-group type   No. 123
Total DFT energy (no corrections)   -3.261 eV per atom
Calculated volume   112 Å³/f.u.
DOS at the Fermi energy   4.662 states/eV per cell

=====

A plane-wave DFT calculation with GGA-PBEsol was carried out for a geometry-optimized NaPOsCl2 structure.

```
NaPOsCl2
1.0
5.026 0.000 0.000
0.000 5.026 0.000
0.000 0.000 4.408
Na P Os Cl
1 1 1 2
direct
0.000 0.000 0.000
0.500 0.500 0.000
0.500 0.500 0.500
0.000 0.500 0.500
0.500 0.000 0.500
```

Offset from the most stable computed form   0.000 eV per atom
Space-group type   No. 123
Total DFT energy (no corrections)   -4.832 eV per atom
Calculated volume   111 Å³/f.u.
DOS at the Fermi energy   3.248 states/eV per cell

=====

Please write out number 3 again, unchanged.
A plane-wave DFT calculation with GGA-PBEsol was carried out for a geometry-optimized NaPOsCl2 structure.

```
NaPOsCl2
1.0
5.026 0.000 0.000
0.000 5.026 0.000
0.000 0.000 4.408
Na P Os Cl
1 1 1 2
direct
0.000 0.000 0.000
0.500 0.500 0.000
0.500 0.500 0.500
0.000 0.500 0.500
0.500 0.000 0.500
```

Offset from the most stable computed form   0.000 eV per atom
Space-group type   No. 123
Total DFT energy (no corrections)   -4.832 eV per atom
Calculated volume   111 Å³/f.u.
DOS at the Fermi energy   3.248 states/eV per cell